Entry 1:
DFT (PBE with a Hubbard U) results for Sm4Mo6O19 after structural relaxation.

Unit cell a=7.873 b=7.873 c=7.873 alpha=109.47 beta=109.47 gamma=109.47
Element x y z (fractional)
Sm1 0.000 0.000 0.698
Sm2 0.000 0.698 0.000
Sm3 0.302 0.302 0.302
Sm4 0.698 0.000 0.000
Mo1 0.140 0.640 0.500
Mo2 0.360 0.500 0.860
Mo3 0.500 0.140 0.640
Mo4 0.500 0.860 0.360
Mo5 0.640 0.500 0.140
Mo6 0.860 0.360 0.500
O1 0.000 0.000 0.000
O2 0.000 0.320 0.320
O3 0.000 0.680 0.680
O4 0.042 0.343 0.729
O5 0.271 0.615 0.313
O6 0.302 0.958 0.687
O7 0.313 0.271 0.615
O8 0.320 0.000 0.320
O9 0.320 0.320 0.000
O10 0.343 0.729 0.042
O11 0.385 0.657 0.698
O12 0.615 0.313 0.271
O13 0.657 0.698 0.385
O14 0.680 0.000 0.680
O15 0.680 0.680 0.000
O16 0.687 0.302 0.958
O17 0.698 0.385 0.657
O18 0.729 0.042 0.343
O19 0.958 0.687 0.302

Results
Its crystal system is cubic. The total energy is -7.544 eV per atom.

=====

Entry 2:
DFT (PBE with a Hubbard U) results for Sm2Mo2O7 after structural relaxation.

Unit cell a=7.407 b=7.407 c=7.407 alpha=60.00 beta=60.00 gamma=60.00
Element x y z (fractional)
Sm1 0.000 0.000 0.000
Sm2 0.000 0.000 0.500
Sm3 0.000 0.500 0.000
Sm4 0.500 0.000 0.000
Mo1 0.000 0.500 0.500
Mo2 0.500 0.000 0.500
Mo3 0.500 0.500 0.000
Mo4 0.500 0.500 0.500
O1 0.134 0.134 0.616
O2 0.134 0.616 0.134
O3 0.134 0.616 0.616
O4 0.375 0.375 0.375
O5 0.384 0.384 0.866
O6 0.384 0.866 0.384
O7 0.384 0.866 0.866
O8 0.616 0.134 0.134
O9 0.616 0.134 0.616
O10 0.616 0.616 0.134
O11 0.625 0.625 0.625
O12 0.866 0.384 0.384
O13 0.866 0.384 0.866
O14 0.866 0.866 0.384

Results
Its crystal system is cubic. The value obtained for the excess energy over the best structure of this formula in the dataset is 0.364 eV per atom. The total energy is -7.476 eV per atom.

=====

Entry 3:
DFT (PBE with a Hubbard U) results for Sm3MoO7 after structural relaxation.

Unit cell a=7.531 b=7.696 c=10.828 alpha=90.00 beta=90.00 gamma=90.00
Element x y z (fractional)
Sm1 0.001 0.042 0.225
Sm2 0.002 0.040 0.777
Sm3 0.233 0.200 0.500
Sm4 0.267 0.800 0.000
Sm5 0.498 0.960 0.277
Sm6 0.499 0.958 0.725
Sm7 0.501 0.458 0.775
Sm8 0.502 0.460 0.223
Sm9 0.733 0.300 0.500
Sm10 0.767 0.700 0.000
Sm11 0.998 0.540 0.723
Sm12 0.999 0.542 0.275
Mo1 0.246 0.252 0.000
Mo2 0.254 0.748 0.500
Mo3 0.746 0.248 0.000
Mo4 0.754 0.752 0.500
O1 0.005 0.653 0.500
O2 0.009 0.770 0.133
O3 0.010 0.765 0.866
O4 0.205 0.393 0.859
O5 0.207 0.401 0.140
O6 0.212 0.947 0.624
O7 0.212 0.952 0.375
O8 0.288 0.048 0.875
O9 0.288 0.053 0.124
O10 0.293 0.599 0.640
O11 0.295 0.607 0.359
O12 0.490 0.235 0.366
O13 0.491 0.230 0.633
O14 0.495 0.347 0.000
O15 0.505 0.847 0.500
O16 0.509 0.730 0.867
O17 0.510 0.735 0.134
O18 0.705 0.107 0.141
O19 0.707 0.099 0.860
O20 0.712 0.548 0.625
O21 0.712 0.553 0.376
O22 0.788 0.447 0.876
O23 0.788 0.452 0.125
O24 0.793 0.901 0.360
O25 0.795 0.893 0.641
O26 0.990 0.265 0.634
O27 0.991 0.270 0.367
O28 0.995 0.153 0.000

Results
Its crystal system is orthorhombic. The total energy is -8.037 eV per atom.

=====

Entry 4:
DFT (PBE with a Hubbard U) results for SrSmMo2O8 after structural relaxation.

Unit cell a=7.041 b=7.041 c=7.041 alpha=135.06 beta=135.06 gamma=65.43
Element x y z (fractional)
Sr1 0.000 0.000 0.000
Sm1 0.250 0.750 0.500
Mo1 0.500 0.500 0.000
Mo2 0.750 0.250 0.500
O1 0.273 0.658 0.098
O2 0.342 0.440 0.615
O3 0.419 0.004 0.076
O4 0.560 0.175 0.902
O5 0.657 0.581 0.585
O6 0.825 0.727 0.385
O7 0.928 0.343 0.924
O8 0.996 0.072 0.415

Results
Its crystal system is tetragonal. The total energy is -7.372 eV per atom.

=====

Entry 5:
DFT (PBE with a Hubbard U) results for Sr2SmMoO6 after structural relaxation.

Unit cell a=5.875 b=5.978 c=10.276 alpha=90.00 beta=124.78 gamma=90.00
Element x y z (fractional)
Sr1 0.239 0.042 0.247
Sr2 0.239 0.458 0.747
Sr3 0.761 0.542 0.253
Sr4 0.761 0.958 0.753
Sm1 0.000 0.000 0.500
Sm2 0.000 0.500 0.000
Mo1 0.500 0.000 0.000
Mo2 0.500 0.500 0.500
O1 0.175 0.189 0.956
O2 0.175 0.311 0.456
O3 0.274 0.729 0.953
O4 0.274 0.771 0.453
O5 0.351 0.030 0.766
O6 0.351 0.470 0.266
O7 0.649 0.530 0.734
O8 0.649 0.970 0.234
O9 0.726 0.229 0.547
O10 0.726 0.271 0.047
O11 0.825 0.689 0.544
O12 0.825 0.811 0.044

Results
Its crystal system is monoclinic. The total energy is -7.169 eV per atom.

=====

Entry 6:
DFT (PBE with a Hubbard U) results for TbSm2MoO8 after structural relaxation.

Unit cell a=5.153 b=5.153 c=6.902 alpha=90.00 beta=90.00 gamma=90.74
Element x y z (fractional)
Tb1 0.000 0.000 0.000
Sm1 0.500 0.500 0.251
Sm2 0.500 0.500 0.749
Mo1 0.000 0.000 0.500
O1 0.179 0.821 0.290
O2 0.179 0.821 0.710
O3 0.268 0.268 0.500
O4 0.304 0.304 0.000
O5 0.696 0.696 0.000
O6 0.732 0.732 0.500
O7 0.821 0.179 0.290
O8 0.821 0.179 0.710

Results
Its crystal system is orthorhombic. The total energy is -7.672 eV per atom.

=====

Entry 7:
DFT (PBE with a Hubbard U) results for Tb2SmMoO8 after structural relaxation.

Unit cell a=5.086 b=6.909 c=5.087 alpha=90.00 beta=90.47 gamma=90.00
Element x y z (fractional)
Tb1 0.000 0.246 0.000
Tb2 0.000 0.754 0.000
Sm1 0.500 0.500 0.500
Mo1 0.500 0.000 0.500
O1 0.187 0.500 0.188
O2 0.226 0.000 0.228
O3 0.318 0.207 0.684
O4 0.318 0.793 0.684
O5 0.682 0.207 0.316
O6 0.682 0.793 0.316
O7 0.774 0.000 0.772
O8 0.813 0.500 0.812

Results
Its crystal system is monoclinic. The total energy is -7.704 eV per atom.

=====

Entry 8:
DFT (PBE with a Hubbard U) results for TbSmMo2O8 after structural relaxation.

Unit cell a=6.743 b=6.743 c=6.743 alpha=133.72 beta=133.72 gamma=67.52
Element x y z (fractional)
Tb1 0.000 0.000 0.000
Sm1 0.750 0.250 0.500
Mo1 0.250 0.750 0.500
Mo2 0.500 0.500 0.000
O1 0.105 0.665 0.095
O2 0.146 0.224 0.552
O3 0.335 0.430 0.440
O4 0.407 0.854 0.079
O5 0.570 0.010 0.905
O6 0.672 0.593 0.448
O7 0.776 0.328 0.921
O8 0.990 0.895 0.560

Results
Its crystal system is tetragonal. The total energy is -7.713 eV per atom.

=====

Entry 9:
DFT (PBE with a Hubbard U) results for Sm3Tl3MoO8 after structural relaxation.

Unit cell a=7.036 b=7.036 c=7.672 alpha=117.00 beta=117.00 gamma=59.48
Element x y z (fractional)
Sm1 0.000 0.000 0.000
Sm2 0.000 0.500 0.000
Sm3 0.500 0.000 0.000
Tl1 0.000 0.500 0.500
Tl2 0.500 0.000 0.500
Tl3 0.500 0.500 0.500
Mo1 0.500 0.500 0.000
O1 0.223 0.223 0.173
O2 0.255 0.703 0.164
O3 0.289 0.289 0.832
O4 0.297 0.745 0.836
O5 0.703 0.255 0.164
O6 0.711 0.711 0.168
O7 0.745 0.297 0.836
O8 0.777 0.777 0.827

Results
Its crystal system is monoclinic. The total energy is -6.678 eV per atom.

=====

Entry 10:
DFT (PBE with a Hubbard U) results for SmTlMoO5 after structural relaxation.

Unit cell a=6.616 b=6.616 c=8.416 alpha=105.74 beta=105.74 gamma=105.52
Element x y z (fractional)
Sm1 0.000 0.000 0.000
Sm2 0.000 0.000 0.500
Tl1 0.298 0.702 0.750
Tl2 0.702 0.298 0.250
Mo1 0.313 0.687 0.250
Mo2 0.687 0.313 0.750
O1 0.075 0.925 0.750
O2 0.133 0.708 0.377
O3 0.223 0.400 0.104
O4 0.292 0.867 0.123
O5 0.400 0.223 0.604
O6 0.600 0.777 0.396
O7 0.708 0.133 0.877
O8 0.777 0.600 0.896
O9 0.867 0.292 0.623
O10 0.925 0.075 0.250

Results
Its crystal system is monoclinic. The total energy is -6.922 eV per atom.

=====

Entry 11:
DFT (PBE with a Hubbard U) results for SmTl2MoO6 after structural relaxation.

Unit cell a=6.469 b=6.469 c=6.042 alpha=90.00 beta=90.00 gamma=120.00
Element x y z (fractional)
Sm1 0.000 0.000 0.000
Tl1 0.333 0.667 0.470
Tl2 0.667 0.333 0.530
Mo1 0.000 0.000 0.500
O1 0.137 0.274 0.298
O2 0.137 0.863 0.298
O3 0.274 0.137 0.702
O4 0.726 0.863 0.298
O5 0.863 0.137 0.702
O6 0.863 0.726 0.702

Results
Its crystal system is trigonal. The total energy is -6.168 eV per atom.

=====

Entry 12:
DFT (PBE with a Hubbard U) results for SmTm2MoO8 after structural relaxation.

Unit cell a=5.002 b=5.002 c=6.848 alpha=90.00 beta=90.00 gamma=90.51
Element x y z (fractional)
Sm1 0.000 0.000 0.000
Tm1 0.500 0.500 0.257
Tm2 0.500 0.500 0.743
Mo1 0.000 0.000 0.500
O1 0.186 0.814 0.292
O2 0.186 0.814 0.708
O3 0.279 0.279 0.500
O4 0.317 0.317 0.000
O5 0.683 0.683 0.000
O6 0.721 0.721 0.500
O7 0.814 0.186 0.292
O8 0.814 0.186 0.708

Results
Its crystal system is orthorhombic. The total energy is -7.726 eV per atom.